Record 1
Density functional theory data (GGA-PBE) for a relaxed CaPrCu4 crystal.

Structure (POSCAR):
```
CaPrCu4
1.0
-2.123 3.701 3.835
2.123 -3.701 3.835
2.123 3.701 -3.835
Ca Pr Cu
1 1 4
Cartesian
0.000 0.000 0.000 Ca
0.000 0.000 3.835 Pr
2.123 -1.230 1.947 Cu
2.123 1.230 1.947 Cu
0.000 2.471 1.888 Cu
0.000 4.931 1.888 Cu
```

Properties
- distance to the lowest polymorph of the same formula (meV/atom) = 0
- energy of formation from the pure elements (eV per atom) = -0.1579



Record 2
Density functional theory data (GGA-PBE) for a relaxed CaPrCu crystal.

Structure (POSCAR):
```
CaPrCu
1.0
4.882 0.000 0.000
-2.441 4.228 0.000
0.000 0.000 4.102
Ca Pr Cu
1 1 1
Cartesian
0.000 0.000 0.000 Ca
0.000 2.819 2.142 Pr
2.441 1.409 1.026 Cu
```

Properties
- distance to the lowest polymorph of the same formula (meV/atom) = 233
- energy of formation from the pure elements (eV per atom) = 0.1371



Record 3
Density functional theory data (GGA-PBE) for a relaxed CaPr5Cu6 crystal.

Structure (POSCAR):
```
CaPr5Cu6
1.0
5.119 0.000 0.000
0.000 7.182 0.000
-2.539 0.000 7.681
Ca Pr Cu
1 5 6
Cartesian
0.000 0.000 0.000 Ca
0.000 3.591 0.000 Pr
0.009 3.591 5.123 Pr
0.009 0.000 5.178 Pr
2.570 0.000 2.503 Pr
2.571 3.591 2.558 Pr
0.016 1.811 2.621 Cu
0.016 5.371 2.621 Cu
2.559 1.850 0.000 Cu
2.559 5.332 0.000 Cu
2.563 1.811 5.060 Cu
2.563 5.371 5.060 Cu
```

Properties
- energy of formation from the pure elements (eV per atom) = -0.1186



Record 4
Density functional theory data (GGA-PBE) for a relaxed CaPr4Cu5 crystal.

Structure (POSCAR):
```
CaPr4Cu5
1.0
3.594 0.000 0.000
0.000 3.594 0.000
0.000 0.000 18.235
Ca Pr Cu
1 4 5
Cartesian
0.000 0.000 0.000 Ca
0.000 0.000 3.611 Pr
0.000 0.000 7.294 Pr
0.000 0.000 10.940 Pr
0.000 0.000 14.624 Pr
1.797 1.797 1.901 Cu
1.797 1.797 5.442 Cu
1.797 1.797 9.117 Cu
1.797 1.797 12.793 Cu
1.797 1.797 16.334 Cu
```

Properties
- energy of formation from the pure elements (eV per atom) = -0.1120



Record 5
Density functional theory data (GGA-PBE) for a relaxed CaPr4Cu4 crystal.

Structure (POSCAR):
```
CaPr4Cu4
1.0
9.390 0.000 0.000
0.000 9.390 0.000
0.000 0.000 5.682
Ca Pr Cu
2 8 8
Cartesian
2.347 2.347 1.420 Ca
7.042 7.042 4.261 Ca
0.713 6.264 0.819 Pr
1.569 8.676 3.660 Pr
3.126 5.408 3.660 Pr
3.981 7.821 0.819 Pr
5.408 1.569 4.862 Pr
6.264 3.981 2.022 Pr
7.821 0.713 2.022 Pr
8.676 3.126 4.862 Pr
0.151 5.685 3.596 Cu
0.990 9.239 0.755 Cu
3.705 4.846 0.755 Cu
4.544 8.400 3.596 Cu
4.846 0.990 2.086 Cu
5.685 4.544 4.927 Cu
8.400 0.151 4.927 Cu
9.239 3.705 2.086 Cu
```

Properties
- energy of formation from the pure elements (eV per atom) = 0.0067



Record 6
Density functional theory data (GGA-PBE) for a relaxed CaPrCu2 crystal.

Structure (POSCAR):
```
CaPrCu2
1.0
4.438 0.000 0.000
0.000 2.004 5.426
0.000 -2.004 5.426
Ca Pr Cu
1 1 2
Cartesian
0.000 0.000 0.000 Ca
2.219 0.000 7.810 Pr
0.000 0.000 3.189 Cu
2.219 0.000 4.596 Cu
```

Properties
- energy of formation from the pure elements (eV per atom) = -0.1445



Record 7
Density functional theory data (GGA-PBE) for a relaxed CaPr2Cu crystal.

Structure (POSCAR):
```
CaPr2Cu
1.0
1.897 1.095 10.472
-1.897 1.095 10.472
0.000 -2.190 10.472
Ca Pr Cu
1 2 1
Cartesian
0.000 0.000 0.000 Ca
0.000 0.000 7.242 Pr
0.000 0.000 24.174 Pr
0.000 0.000 15.708 Cu
```

Properties
- distance to the lowest polymorph of the same formula (meV/atom) = 90
- energy of formation from the pure elements (eV per atom) = 0.0777



Record 8
Density functional theory data (GGA-PBE) for a relaxed CaPr2Cu2 crystal.

Structure (POSCAR):
```
CaPr2Cu2
1.0
6.059 -1.982 0.000
6.059 1.982 0.000
-1.473 0.000 5.762
Ca Pr Cu
1 2 2
Cartesian
0.000 0.000 0.000 Ca
3.649 0.000 2.387 Pr
6.995 0.000 3.375 Pr
2.116 0.000 5.170 Cu
8.529 0.000 0.592 Cu
```

Properties
- distance to the lowest polymorph of the same formula (meV/atom) = 69
- energy of formation from the pure elements (eV per atom) = -0.0269



Record 9
Density functional theory data (GGA-PBE) for a relaxed CaPr2Cu crystal.

Structure (POSCAR):
```
CaPr2Cu
1.0
2.446 -5.972 0.000
2.446 5.972 0.000
0.000 0.000 8.310
Ca Pr Cu
2 4 2
Cartesian
2.446 5.362 6.233 Ca
2.446 -5.362 2.078 Ca
2.446 1.760 4.467 Pr
2.446 1.760 7.999 Pr
2.446 -1.760 0.312 Pr
2.446 -1.760 3.844 Pr
2.446 3.428 2.078 Cu
2.446 -3.428 6.233 Cu
```

Properties
- distance to the lowest polymorph of the same formula (meV/atom) = 0
- energy of formation from the pure elements (eV per atom) = -0.0124



Record 10
Density functional theory data (GGA-PBE) for a relaxed CaPrCu crystal.

Structure (POSCAR):
```
CaPrCu
1.0
-1.805 1.805 6.579
1.805 -1.805 6.579
1.805 1.805 -6.579
Ca Pr Cu
1 1 1
Cartesian
0.000 0.000 0.000 Ca
0.000 0.000 3.500 Pr
0.000 0.000 8.401 Cu
```

Properties
- distance to the lowest polymorph of the same formula (meV/atom) = 56
- energy of formation from the pure elements (eV per atom) = -0.0398



Record 11
Density functional theory data (GGA-PBE) for a relaxed CaPrCuRu crystal.

Structure (POSCAR):
```
CaPrCuRu
1.0
0.000 3.526 3.526
3.526 0.000 3.526
3.526 3.526 0.000
Ca Pr Cu Ru
1 1 1 1
Cartesian
0.000 0.000 0.000 Ca
3.526 3.526 3.526 Pr
1.763 1.763 1.763 Cu
5.289 5.289 5.289 Ru
```

Properties
- energy of formation from the pure elements (eV per atom) = 0.0068



Record 12
Density functional theory data (GGA-PBE) for a relaxed Ca3Pr3CuS8 crystal.

Structure (POSCAR):
```
Ca3Pr3CuS8
1.0
6.945 -4.074 0.000
6.945 4.074 0.000
-4.695 0.000 6.601
Ca Pr Cu S
3 3 1 8
Cartesian
0.000 0.000 0.000 Ca
3.473 2.037 0.000 Ca
3.473 -2.037 0.000 Ca
1.125 2.037 3.301 Pr
1.125 -2.037 3.301 Pr
4.598 0.000 3.301 Pr
-2.348 0.000 3.301 Cu
-0.375 0.000 4.716 S
2.288 0.000 1.620 S
3.416 2.009 4.956 S
5.780 2.009 1.645 S
3.416 -2.009 4.956 S
5.780 -2.009 1.645 S
6.907 0.000 4.981 S
9.570 0.000 1.886 S
```



Asked for total magnetic moment across the records above, the calculation gives 0.0; 0.0; 0.0; 0.0; 0.0; 0.0; 0.0; 0.0; 0.0; 0.0; 0.0; 0.2 μB/f.u. in order.
Asked for total energy across the records above, the calculation gives -4.019; -3.489; -4.325; -4.272; -4.160; -3.888; -3.836; -3.977; -3.927; -3.666; -5.032; -5.579 eV per atom in order.